Entry 1:
## LaAl2Zn6 (PBE)

Data for LaAl2Zn6 after structural relaxation.

```
9
Lattice="-2.106 3.422 5.944 2.106 -3.422 5.944 2.106 3.422 -5.944" Properties=species:S:1:pos:R:3 pbc="T T T"
La 0.000 0.000 0.000
Al 2.106 0.000 4.560
Al 0.000 3.422 1.384
Zn 2.106 1.343 -2.298
Zn 2.106 2.215 0.000
Zn 2.106 1.343 2.298
Zn 0.000 2.079 3.645
Zn 0.000 1.206 5.944
Zn 0.000 2.079 8.242
```

Results
calculated volume: 19.03 Å³/atom
calculated formation energy: -0.11 eV/atom

Entry 2:
## LaAlZn (PBE)

Data for LaAlZn after structural relaxation.

```
6
Lattice="5.625 0.000 0.000 0.000 4.424 0.000 -1.689 0.000 5.501" Properties=species:S:1:pos:R:3 pbc="T T T"
La -0.050 1.106 1.270
La 3.985 3.318 4.230
Al 1.042 1.106 4.649
Al 2.893 3.318 0.852
Zn 1.151 3.318 2.956
Zn 2.784 1.106 2.545
```

Results
calculated volume: 22.81 Å³/atom
calculated formation energy: -0.29 eV/atom

Entry 3:
## LaAl4Zn (PBE)

Data for LaAl4Zn after structural relaxation.

```
6
Lattice="0.000 3.961 3.961 3.961 0.000 3.961 3.961 3.961 0.000" Properties=species:S:1:pos:R:3 pbc="T T T"
La 0.000 0.000 0.000
Al 2.971 2.971 2.971
Al 4.950 4.950 2.971
Al 4.950 2.971 4.950
Al 2.971 4.950 4.950
Zn 5.941 5.941 5.941
```

Results
calculated volume: 20.71 Å³/atom
calculated formation energy: -0.12 eV/atom

Entry 4:
## La3Al2Zn (PBE)

Data for La3Al2Zn after structural relaxation.

```
12
Lattice="5.361 0.000 0.000 -2.681 4.643 0.000 0.000 0.000 13.164" Properties=species:S:1:pos:R:3 pbc="T T T"
La 0.000 0.000 3.277
La 0.000 0.000 9.886
La 0.000 3.095 5.454
La 0.000 3.095 12.050
La 2.681 1.548 1.114
La 2.681 1.548 7.710
Al 0.000 0.000 0.000
Al 0.000 0.000 6.582
Al 0.000 3.095 8.774
Al 2.681 1.548 4.390
Zn 0.000 3.095 2.174
Zn 2.681 1.548 10.990
```

Results
calculated volume: 27.31 Å³/atom
calculated formation energy: -0.34 eV/atom

Entry 5:
## La2Al3Zn2 (PBE)

Data for La2Al3Zn2 after structural relaxation.

```
7
Lattice="5.465 -2.251 0.000 5.465 2.251 0.000 -2.678 0.000 6.302" Properties=species:S:1:pos:R:3 pbc="T T T"
La 0.960 0.000 1.743
La 7.292 0.000 4.559
Al 4.234 0.000 0.490
Al 4.126 0.000 3.151
Al 4.018 0.000 5.812
Zn -0.438 0.000 4.830
Zn 8.690 0.000 1.472
```

Results
calculated volume: 22.15 Å³/atom
calculated formation energy: -0.41 eV/atom

Entry 6:
## La2Al5Zn3 (PBE)

Data for La2Al5Zn3 after structural relaxation.

```
10
Lattice="4.352 0.000 0.000 0.000 4.352 0.000 0.000 0.000 10.795" Properties=species:S:1:pos:R:3 pbc="T T T"
La 0.000 2.176 2.683
La 2.176 0.000 8.112
Al 0.000 0.000 5.398
Al 0.000 2.176 6.947
Al 2.176 0.000 3.848
Al 2.176 2.176 0.000
Al 2.176 2.176 5.398
Zn 0.000 0.000 0.000
Zn 0.000 2.176 9.430
Zn 2.176 0.000 1.365
```

Results
calculated volume: 20.45 Å³/atom
calculated formation energy: -0.41 eV/atom
excess energy over the best structure of this formula in the dataset: 32 meV per atom

Number 1: density 5.674 Mg/m³, E -2.34 eV/atom, M_tot 0.00 μB/f.u.. Number 2: density 5.612 Mg/m³, E -3.61 eV/atom, M_tot 0.00 μB/f.u.. Number 3: density 4.172 Mg/m³, E -3.65 eV/atom, M_tot 0.00 μB/f.u.. Number 4: density 5.433 Mg/m³, E -4.26 eV/atom, M_tot 0.00 μB/f.u.. Number 5: density 5.242 Mg/m³, E -3.78 eV/atom, M_tot 0.00 μB/f.u.. Number 6: density 4.945 Mg/m³, E -3.65 eV/atom, M_tot 0.00 μB/f.u..